(1)
# ScTcRh

ScTcRh after structural relaxation (PBE, the Alexandria database).

Unit cell a=6.3102 b=6.3102 c=2.8624 alpha=76.89 beta=76.89 gamma=26.22
Atoms (fractional coordinates):
Sc  0.3355  0.3355  0.6645
Tc  0.6534  0.6533  0.3466
Rh  0.0111  0.0112  0.9889

Results
Crystal system: tetragonal
Calculated volume (Å³ per cell): 49
Offset from the most stable computed form (meV per atom): 0
Space group: I4mm, No. 107
Total magnetic moment (μB per formula unit): 0.00
ΔH_f (0 K) (eV per atom): -0.25
Calculated total energy (eV per atom): -8.2671

=====

(2)
# NaTl4Pd

NaTl4Pd after structural relaxation (PBE, the Alexandria database).

Unit cell a=4.6829 b=4.6829 c=8.2703 alpha=90.00 beta=90.00 gamma=90.00
Atoms (fractional coordinates):
Tl  0.5000  0.0000  0.7061
Na  0.0000  0.0000  0.0000
Tl  0.5000  0.0000  0.2939
Tl  0.0000  0.5000  0.7061
Pd  0.5000  0.5000  0.5000
Tl  0.0000  0.5000  0.2939

Results
Crystal system: tetragonal
Calculated volume (Å³ per cell): 181
Offset from the most stable computed form (meV per atom): 0
Space group: P4/mmm, No. 123
Total magnetic moment (μB per formula unit): 0.00
ΔH_f (0 K) (eV per atom): -0.04
Calculated total energy (eV per atom): -2.7076

=====

(3)
# LiEuTmHg

LiEuTmHg after structural relaxation (PBE, the Alexandria database).

Unit cell a=5.3198 b=5.3198 c=5.3198 alpha=60.00 beta=60.00 gamma=60.00
Atoms (fractional coordinates):
Tm  0.7500  0.7500  0.7500
Li  0.0000  0.0000  0.0000
Hg  0.5000  0.5000  0.5000
Eu  0.2500  0.2500  0.2500

Results
Crystal system: cubic
Calculated volume (Å³ per cell): 106
Space group: F-43m, No. 216
Total magnetic moment (μB per formula unit): 7.20
ΔH_f (0 K) (eV per atom): -0.19
Calculated total energy (eV per atom): -4.4341